The following is a PBE calculation of CrCdNi2C after structural relaxation, from the Alexandria database.

abc: 3.933 3.933 3.909
angles: 90.00 90.00 90.00
Sites, in units of the cell vectors:
Cr (0.000, 0.000, 0.000)
Cd (0.500, 0.500, 0.000)
Ni (0.000, 0.500, 0.500)
Ni (0.500, 0.000, 0.500)
C (0.000, 0.000, 0.500)

Results
The total moment is 2.2 μB/f.u. As for the total energy: -6.159 eV per atom.